The following is a PBE calculation of a relaxed In2BiHPb crystal, from the Alexandria database.

```
data_In2BiHPb
_cell_length_a 5.083
_cell_length_b 5.083
_cell_length_c 4.776
_cell_angle_alpha 90.00
_cell_angle_beta 90.00
_cell_angle_gamma 90.00
_space_group_name_H-M_alt 'P 4/m m m'
_space_group_IT_number 123
_space_group_name_Hall '-P 4 2'
loop_
_atom_site_label
_atom_site_fract_x
_atom_site_fract_y
_atom_site_fract_z
In1 0.000 0.500 0.000
Bi1 0.000 0.000 0.500
H1 0.000 0.000 0.000
Pb1 0.500 0.500 0.500
```

Total DFT energy (no corrections): -3.07 eV/atom
DOS at the Fermi energy: 0.338 states/eV/atom
ΔE to the lowest computed polymorph: 1.6 kJ per mole of atoms